[1]
# Ac8Tb2Sm3

A relaxed structure of Ac8Tb2Sm3 (PBE-GGA, the Alexandria database).

Values from the calculation:
E_tot	-106.92	eV/cell
D(E_F)	20.21	states/eV/f.u.
volume	41.1	A^3/atom
ΔE_f	0.217	eV/atom
spin magnetization	0.00	μB/cell

Cell and atoms, written as CIF:
```
data_Ac8Tb2Sm3
_chemical_formula_sum 'Ac16 Tb4 Sm6'
_symmetry_space_group_name_H-M 'C 1 2/m 1'
_symmetry_Int_Tables_number 12
_symmetry_space_group_name_Hall '-C 2y'
_cell_length_a 20.626
_cell_length_b 7.731
_cell_length_c 6.807
_cell_angle_alpha 90.00
_cell_angle_beta 100.41
_cell_angle_gamma 90.00
loop_
_atom_site_label
_atom_site_fract_x
_atom_site_fract_y
_atom_site_fract_z
Ac1 0.051 0.000 0.335
Ac2 0.158 0.241 0.790
Ac3 0.160 0.500 0.282
Tb1 0.206 0.000 0.300
Sm1 0.000 0.296 0.000
Sm2 0.000 0.500 0.500
```

---

[2]
# AcTbSm3

A relaxed structure of AcTbSm3 (PBE-GGA, the Alexandria database).

Values from the calculation:
polymorph energy (0 for the lowest one)	226	meV/atom
E_tot	-43.09	eV/cell
D(E_F)	7.60	states/eV/f.u.
volume	38.9	A^3/atom
ΔE_f	0.271	eV/atom
spin magnetization	0.00	μB/cell

Cell and atoms, written as CIF:
```
data_AcTbSm3
_chemical_formula_sum 'Ac2 Tb2 Sm6'
_symmetry_space_group_name_H-M 'P 1 21/m 1'
_symmetry_Int_Tables_number 11
_symmetry_space_group_name_Hall '-P 2yb'
_cell_length_a 3.708
_cell_length_b 11.599
_cell_length_c 9.241
_cell_angle_alpha 90.00
_cell_angle_beta 101.57
_cell_angle_gamma 90.00
loop_
_atom_site_label
_atom_site_fract_x
_atom_site_fract_y
_atom_site_fract_z
Ac1 0.019 0.250 0.048
Tb1 0.301 0.750 0.599
Sm1 0.165 0.001 0.329
Sm2 0.354 0.250 0.712
```

---

[3]
# AcTbSm5

A relaxed structure of AcTbSm5 (PBE-GGA, the Alexandria database).

Values from the calculation:
E_tot	-126.74	eV/cell
D(E_F)	10.32	states/eV/f.u.
volume	35.6	A^3/atom
ΔE_f	0.093	eV/atom
spin magnetization	0.00	μB/cell

Cell and atoms, written as CIF:
```
data_AcTbSm5
_chemical_formula_sum 'Ac4 Tb4 Sm20'
_symmetry_space_group_name_H-M 'C 1 2/c 1'
_symmetry_Int_Tables_number 15
_symmetry_space_group_name_Hall '-C 2yc'
_cell_length_a 8.942
_cell_length_b 10.055
_cell_length_c 11.729
_cell_angle_alpha 90.00
_cell_angle_beta 109.15
_cell_angle_gamma 90.00
loop_
_atom_site_label
_atom_site_fract_x
_atom_site_fract_y
_atom_site_fract_z
Ac1 0.250 0.250 0.000
Tb1 0.000 0.238 0.250
Sm1 0.000 0.422 0.750
Sm2 0.127 0.074 0.669
Sm3 0.170 0.396 0.534
```

---

[4]
# AcTb7Sm12

A relaxed structure of AcTb7Sm12 (PBE-GGA, the Alexandria database).

Values from the calculation:
polymorph energy (0 for the lowest one)	409	meV/atom
E_tot	-160.95	eV/cell
D(E_F)	25.86	states/eV/f.u.
volume	38.3	A^3/atom
ΔE_f	0.634	eV/atom
spin magnetization	0.00	μB/cell

Cell and atoms, written as CIF:
```
data_AcTb7Sm12
_chemical_formula_sum 'Ac2 Tb14 Sm24'
_symmetry_space_group_name_H-M 'I m -3 m'
_symmetry_Int_Tables_number 229
_symmetry_space_group_name_Hall '-I 4 2 3'
_cell_length_a 11.523
_cell_length_b 11.523
_cell_length_c 11.523
_cell_angle_alpha 90.00
_cell_angle_beta 90.00
_cell_angle_gamma 90.00
loop_
_atom_site_label
_atom_site_fract_x
_atom_site_fract_y
_atom_site_fract_z
Ac1 0.000 0.000 0.000
Tb1 0.000 0.000 0.500
Tb2 0.250 0.250 0.250
Sm1 0.000 0.258 0.258
```

---

[5]
# Ac5Tb2Sm6

A relaxed structure of Ac5Tb2Sm6 (PBE-GGA, the Alexandria database).

Values from the calculation:
E_tot	-114.13	eV/cell
D(E_F)	19.50	states/eV/f.u.
volume	38.2	A^3/atom
ΔE_f	0.081	eV/atom
spin magnetization	0.00	μB/cell

Cell and atoms, written as CIF:
```
data_Ac5Tb2Sm6
_chemical_formula_sum 'Ac10 Tb4 Sm12'
_symmetry_space_group_name_H-M 'P b a m'
_symmetry_Int_Tables_number 55
_symmetry_space_group_name_Hall '-P 2 2ab'
_cell_length_a 11.959
_cell_length_b 21.886
_cell_length_c 3.799
_cell_angle_alpha 90.00
_cell_angle_beta 90.00
_cell_angle_gamma 90.00
loop_
_atom_site_label
_atom_site_fract_x
_atom_site_fract_y
_atom_site_fract_z
Ac1 0.000 0.000 0.000
Ac2 0.069 0.425 0.000
Ac3 0.145 0.723 0.000
Tb1 0.116 0.283 0.500
Sm1 0.083 0.153 0.000
Sm2 0.162 0.881 0.500
Sm3 0.226 0.557 0.500
```

---

[6]
# Ac2Tb4Sm5

A relaxed structure of Ac2Tb4Sm5 (PBE-GGA, the Alexandria database).

Values from the calculation:
E_tot	-49.92	eV/cell
D(E_F)	16.23	states/eV/f.u.
volume	35.0	A^3/atom
ΔE_f	0.037	eV/atom
spin magnetization	0.00	μB/cell

Cell and atoms, written as CIF:
```
data_Ac2Tb4Sm5
_chemical_formula_sum 'Ac2 Tb4 Sm5'
_symmetry_space_group_name_H-M 'P -1'
_symmetry_Int_Tables_number 2
_symmetry_space_group_name_Hall '-P 1'
_cell_length_a 6.344
_cell_length_b 8.203
_cell_length_c 8.216
_cell_angle_alpha 107.42
_cell_angle_beta 97.31
_cell_angle_gamma 104.88
loop_
_atom_site_label
_atom_site_fract_x
_atom_site_fract_y
_atom_site_fract_z
Ac1 0.138 0.047 0.232
Tb1 0.048 0.675 0.408
Tb2 0.319 0.768 0.863
Sm1 0.228 0.414 0.046
Sm2 0.411 0.141 0.685
Sm3 0.500 0.500 0.500
```

---

[7]
# AcTb6Sm12

A relaxed structure of AcTb6Sm12 (PBE-GGA, the Alexandria database).

Values from the calculation:
polymorph energy (0 for the lowest one)	0	meV/atom
E_tot	-257.25	eV/cell
D(E_F)	31.55	states/eV/f.u.
volume	34.5	A^3/atom
ΔE_f	0.146	eV/atom
spin magnetization	0.00	μB/cell

Cell and atoms, written as CIF:
```
data_AcTb6Sm12
_chemical_formula_sum 'Ac3 Tb18 Sm36'
_symmetry_space_group_name_H-M 'R -3'
_symmetry_Int_Tables_number 148
_symmetry_space_group_name_Hall '-R 3'
_cell_length_a 12.1496
_cell_length_b 12.1496
_cell_length_c 15.3617
_cell_angle_alpha 90.00
_cell_angle_beta 90.00
_cell_angle_gamma 120.00
loop_
_atom_site_label
_atom_site_fract_x
_atom_site_fract_y
_atom_site_fract_z
Ac1 0.0000 0.0000 0.0000
Tb1 0.0078 0.5857 0.6825
Sm1 0.0118 0.1797 0.1929
Sm2 0.0415 0.1929 0.4173
```

---

[8]
# Ac2Tb2Sm

A relaxed structure of Ac2Tb2Sm (PBE-GGA, the Alexandria database).

Values from the calculation:
polymorph energy (0 for the lowest one)	375	meV/atom
E_tot	-39.78	eV/cell
D(E_F)	10.86	states/eV/f.u.
volume	40.3	A^3/atom
ΔE_f	0.462	eV/atom
spin magnetization	0.00	μB/cell

Cell and atoms, written as CIF:
```
data_Ac2Tb2Sm
_chemical_formula_sum 'Ac4 Tb4 Sm2'
_symmetry_space_group_name_H-M 'I 4/m m m'
_symmetry_Int_Tables_number 139
_symmetry_space_group_name_Hall '-I 4 2'
_cell_length_a 4.942
_cell_length_b 4.942
_cell_length_c 16.503
_cell_angle_alpha 90.00
_cell_angle_beta 90.00
_cell_angle_gamma 90.00
loop_
_atom_site_label
_atom_site_fract_x
_atom_site_fract_y
_atom_site_fract_z
Ac1 0.000 0.500 0.250
Tb1 0.000 0.000 0.092
Sm1 0.000 0.000 0.500
```

---

[9]
# AcTb4Sm5

A relaxed structure of AcTb4Sm5 (PBE-GGA, the Alexandria database).

Values from the calculation:
E_tot	-45.92	eV/cell
D(E_F)	13.63	states/eV/f.u.
volume	34.1	A^3/atom
ΔE_f	0.030	eV/atom
spin magnetization	0.00	μB/cell

Cell and atoms, written as CIF:
```
data_AcTb4Sm5
_chemical_formula_sum 'Ac1 Tb4 Sm5'
_symmetry_space_group_name_H-M 'P 4/m m m'
_symmetry_Int_Tables_number 123
_symmetry_space_group_name_Hall '-P 4 2'
_cell_length_a 3.655
_cell_length_b 3.655
_cell_length_c 25.535
_cell_angle_alpha 90.00
_cell_angle_beta 90.00
_cell_angle_gamma 90.00
loop_
_atom_site_label
_atom_site_fract_x
_atom_site_fract_y
_atom_site_fract_z
Ac1 0.000 0.000 0.000
Tb1 0.000 0.000 0.207
Tb2 0.000 0.000 0.402
Sm1 0.500 0.500 0.109
Sm2 0.500 0.500 0.305
Sm3 0.500 0.500 0.500
```

---

[10]
# AcTb4Sm

A relaxed structure of AcTb4Sm (PBE-GGA, the Alexandria database).

Values from the calculation:
polymorph energy (0 for the lowest one)	0	meV/atom
E_tot	-53.86	eV/cell
D(E_F)	9.26	states/eV/f.u.
volume	34.0	A^3/atom
ΔE_f	0.070	eV/atom
spin magnetization	0.00	μB/cell

Cell and atoms, written as CIF:
```
data_AcTb4Sm
_chemical_formula_sum 'Ac2 Tb8 Sm2'
_symmetry_space_group_name_H-M 'P b a n'
_symmetry_Int_Tables_number 50
_cell_length_a 5.767
_cell_length_b 9.969
_cell_length_c 7.095
_cell_angle_alpha 90.00
_cell_angle_beta 90.00
_cell_angle_gamma 90.00
loop_
_symmetry_equiv_pos_as_xyz
'x,y,z'
'-x,-y,-z'
'-x+1/2,-y+1/2,z'
'x+1/2,y+1/2,-z'
'x,-y+1/2,-z'
'-x,y+1/2,z'
'-x+1/2,y,-z'
'x+1/2,-y,z'
loop_
_atom_site_label
_atom_site_fract_x
_atom_site_fract_y
_atom_site_fract_z
Ac1 0.250 0.250 0.000
Tb1 0.248 0.583 0.257
Sm1 0.250 0.250 0.500
```

---

[11]
# AcTb5Sm6

A relaxed structure of AcTb5Sm6 (PBE-GGA, the Alexandria database).

Values from the calculation:
E_tot	-110.52	eV/cell
D(E_F)	16.28	states/eV/f.u.
volume	33.8	A^3/atom
ΔE_f	0.026	eV/atom
spin magnetization	0.00	μB/cell

Cell and atoms, written as CIF:
```
data_AcTb5Sm6
_chemical_formula_sum 'Ac2 Tb10 Sm12'
_symmetry_space_group_name_H-M 'C 1 2/m 1'
_symmetry_Int_Tables_number 12
_symmetry_space_group_name_Hall '-C 2y'
_cell_length_a 6.289
_cell_length_b 10.887
_cell_length_c 12.045
_cell_angle_alpha 90.00
_cell_angle_beta 100.00
_cell_angle_gamma 90.00
loop_
_atom_site_label
_atom_site_fract_x
_atom_site_fract_y
_atom_site_fract_z
Ac1 0.000 0.000 0.000
Tb1 0.000 0.167 0.500
Tb2 0.000 0.333 0.000
Tb3 0.000 0.500 0.500
Sm1 0.247 0.332 0.746
Sm2 0.249 0.500 0.255
```

---

[12]
# Ac6TbSm4

A relaxed structure of Ac6TbSm4 (PBE-GGA, the Alexandria database).

Values from the calculation:
E_tot	-89.42	eV/cell
D(E_F)	18.67	states/eV/f.u.
volume	43.1	A^3/atom
ΔE_f	0.314	eV/atom
spin magnetization	0.00	μB/cell

Cell and atoms, written as CIF:
```
data_Ac6TbSm4
_chemical_formula_sum 'Ac12 Tb2 Sm8'
_symmetry_space_group_name_H-M 'I -4 2 m'
_symmetry_Int_Tables_number 121
_symmetry_space_group_name_Hall 'I -4 2'
_cell_length_a 6.795
_cell_length_b 6.795
_cell_length_c 20.553
_cell_angle_alpha 90.00
_cell_angle_beta 90.00
_cell_angle_gamma 90.00
loop_
_atom_site_label
_atom_site_fract_x
_atom_site_fract_y
_atom_site_fract_z
Ac1 0.000 0.500 0.000
Ac2 0.198 0.198 0.189
Tb1 0.000 0.000 0.500
Sm1 0.190 0.190 0.365
```

---

[13]
# Ac4Tb3Sm2

A relaxed structure of Ac4Tb3Sm2 (PBE-GGA, the Alexandria database).

Values from the calculation:
E_tot	-39.29	eV/cell
D(E_F)	14.46	states/eV/f.u.
volume	37.9	A^3/atom
ΔE_f	0.053	eV/atom
spin magnetization	0.00	μB/cell

Cell and atoms, written as CIF:
```
data_Ac4Tb3Sm2
_chemical_formula_sum 'Ac4 Tb3 Sm2'
_symmetry_space_group_name_H-M 'P -1'
_symmetry_Int_Tables_number 2
_symmetry_space_group_name_Hall '-P 1'
_cell_length_a 5.395
_cell_length_b 6.442
_cell_length_c 11.281
_cell_angle_alpha 105.23
_cell_angle_beta 90.04
_cell_angle_gamma 114.70
loop_
_atom_site_label
_atom_site_fract_x
_atom_site_fract_y
_atom_site_fract_z
Ac1 0.005 0.010 0.334
Ac2 0.334 0.667 0.111
Tb1 0.000 0.000 0.000
Tb2 0.335 0.670 0.449
Sm1 0.328 0.657 0.772
```

---

[14]
# AcTb4Sm3

A relaxed structure of AcTb4Sm3 (PBE-GGA, the Alexandria database).

Values from the calculation:
polymorph energy (0 for the lowest one)	0	meV/atom
E_tot	-72.93	eV/cell
D(E_F)	14.34	states/eV/f.u.
volume	34.4	A^3/atom
ΔE_f	0.040	eV/atom
spin magnetization	0.00	μB/cell

Cell and atoms, written as CIF:
```
data_AcTb4Sm3
_chemical_formula_sum 'Ac2 Tb8 Sm6'
_symmetry_space_group_name_H-M 'P m n 21'
_symmetry_Int_Tables_number 31
_symmetry_space_group_name_Hall 'P 2ac -2'
_cell_length_a 11.690
_cell_length_b 7.404
_cell_length_c 6.368
_cell_angle_alpha 90.00
_cell_angle_beta 90.00
_cell_angle_gamma 90.00
loop_
_atom_site_label
_atom_site_fract_x
_atom_site_fract_y
_atom_site_fract_z
Ac1 0.000 0.126 0.000
Tb1 0.000 0.382 0.491
Tb2 0.000 0.623 0.991
Tb3 0.247 0.621 0.658
Sm1 0.000 0.868 0.493
Sm2 0.248 0.129 0.656
```

---

[15]
# Ac2Tb3Sm8

A relaxed structure of Ac2Tb3Sm8 (PBE-GGA, the Alexandria database).

Values from the calculation:
polymorph energy (0 for the lowest one)	25	meV/atom
E_tot	-57.05	eV/cell
D(E_F)	21.58	states/eV/f.u.
volume	36.8	A^3/atom
ΔE_f	0.216	eV/atom
spin magnetization	0.00	μB/cell

Cell and atoms, written as CIF:
```
data_Ac2Tb3Sm8
_chemical_formula_sum 'Ac2 Tb3 Sm8'
_symmetry_space_group_name_H-M 'P 1 2/m 1'
_symmetry_Int_Tables_number 10
_symmetry_space_group_name_Hall '-P 2y'
_cell_length_a 7.815
_cell_length_b 5.618
_cell_length_c 11.565
_cell_angle_alpha 90.00
_cell_angle_beta 109.73
_cell_angle_gamma 90.00
loop_
_atom_site_label
_atom_site_fract_x
_atom_site_fract_y
_atom_site_fract_z
Ac1 0.239 0.000 0.479
Tb1 0.000 0.000 0.000
Tb2 0.291 0.500 0.000
Sm1 0.120 0.500 0.241
Sm2 0.189 0.000 0.797
Sm3 0.345 0.500 0.690
Sm4 0.392 0.000 0.203
```

---

[16]
# Ac4Tb2Sm

A relaxed structure of Ac4Tb2Sm (PBE-GGA, the Alexandria database).

Values from the calculation:
E_tot	-118.48	eV/cell
D(E_F)	12.60	states/eV/f.u.
volume	39.7	A^3/atom
ΔE_f	0.113	eV/atom
spin magnetization	0.00	μB/cell

Cell and atoms, written as CIF:
```
data_Ac4Tb2Sm
_chemical_formula_sum 'Ac16 Tb8 Sm4'
_symmetry_space_group_name_H-M 'C 1 c 1'
_symmetry_Int_Tables_number 9
_symmetry_space_group_name_Hall 'C -2yc'
_cell_length_a 6.748
_cell_length_b 12.900
_cell_length_c 13.201
_cell_angle_alpha 90.00
_cell_angle_beta 104.78
_cell_angle_gamma 90.00
loop_
_atom_site_label
_atom_site_fract_x
_atom_site_fract_y
_atom_site_fract_z
Ac1 0.000 0.062 0.000
Ac2 0.211 0.311 0.919
Ac3 0.305 0.174 0.570
Ac4 0.444 0.075 0.849
Tb1 0.050 0.398 0.644
Tb2 0.118 0.150 0.275
Sm1 0.373 0.377 0.209
```

---

[17]
# AcTb6Sm4

A relaxed structure of AcTb6Sm4 (PBE-GGA, the Alexandria database).

Values from the calculation:
polymorph energy (0 for the lowest one)	0	meV/atom
E_tot	-197.29	eV/cell
D(E_F)	20.46	states/eV/f.u.
volume	33.9	A^3/atom
ΔE_f	0.131	eV/atom
spin magnetization	0.00	μB/cell

Cell and atoms, written as CIF:
```
data_AcTb6Sm4
_chemical_formula_sum 'Ac4 Tb24 Sm16'
_symmetry_space_group_name_H-M 'C m c m'
_symmetry_Int_Tables_number 63
_symmetry_space_group_name_Hall '-C 2c 2'
_cell_length_a 5.926
_cell_length_b 9.723
_cell_length_c 25.898
_cell_angle_alpha 90.00
_cell_angle_beta 90.00
_cell_angle_gamma 90.00
loop_
_atom_site_label
_atom_site_fract_x
_atom_site_fract_y
_atom_site_fract_z
Ac1 0.000 0.208 0.250
Tb1 0.000 0.126 0.680
Tb2 0.000 0.198 0.099
Tb3 0.000 0.452 0.750
Tb4 0.000 0.500 0.000
Sm1 0.000 0.151 0.543
Sm2 0.000 0.456 0.623
```

---

[18]
# AcTb12Sm7

A relaxed structure of AcTb12Sm7 (PBE-GGA, the Alexandria database).

Values from the calculation:
polymorph energy (0 for the lowest one)	0	meV/atom
E_tot	-264.36	eV/cell
D(E_F)	36.62	states/eV/f.u.
volume	34.2	A^3/atom
ΔE_f	0.229	eV/atom
spin magnetization	0.00	μB/cell

Cell and atoms, written as CIF:
```
data_AcTb12Sm7
_chemical_formula_sum 'Ac3 Tb36 Sm21'
_symmetry_space_group_name_H-M 'R -3'
_symmetry_Int_Tables_number 148
_symmetry_space_group_name_Hall '-R 3'
_cell_length_a 12.1313
_cell_length_b 12.1313
_cell_length_c 16.0999
_cell_angle_alpha 90.00
_cell_angle_beta 90.00
_cell_angle_gamma 120.00
loop_
_atom_site_label
_atom_site_fract_x
_atom_site_fract_y
_atom_site_fract_z
Ac1 0.0000 0.0000 0.0000
Tb1 0.0104 0.5696 0.7202
Tb2 0.0488 0.4596 0.0830
Sm1 0.0000 0.0000 0.5000
Sm2 0.0503 0.8605 0.7938
```

---

[19]
# Ac8TbSm6

A relaxed structure of Ac8TbSm6 (PBE-GGA, the Alexandria database).

Values from the calculation:
E_tot	-186.65	eV/cell
D(E_F)	24.06	states/eV/f.u.
volume	42.2	A^3/atom
ΔE_f	0.240	eV/atom
spin magnetization	0.00	μB/cell

Cell and atoms, written as CIF:
```
data_Ac8TbSm6
_chemical_formula_sum 'Ac24 Tb3 Sm18'
_symmetry_space_group_name_H-M 'R -3'
_symmetry_Int_Tables_number 148
_symmetry_space_group_name_Hall '-R 3'
_cell_length_a 10.1180
_cell_length_b 10.1180
_cell_length_c 21.4387
_cell_angle_alpha 90.00
_cell_angle_beta 90.00
_cell_angle_gamma 120.00
loop_
_atom_site_label
_atom_site_fract_x
_atom_site_fract_y
_atom_site_fract_z
Ac1 0.0000 0.0000 0.2296
Ac2 0.0145 0.3015 0.6239
Tb1 0.0000 0.0000 0.5000
Sm1 0.0005 0.3120 0.1297
```